A relaxed structure of PuRePb, computed with PBE.

Properties
total magnetic moment = 0.12 μB/f.u.
ΔE to the lowest computed polymorph = 0 meV/atom
space-group type = F-43m (216)
E_tot = -25.04 eV per cell

```
PuRePb
1.0
2.358 1.361 3.851
-2.358 1.361 3.851
0.000 -2.723 3.851
Pu Pb Re
1 1 1
Direct
0.000 0.000 0.000
0.750 0.750 0.750
0.250 0.250 0.250
```